Record 1
Computed, not measured: an optimized crystal structure of YTm2Mg3Al2Zn at the PBE level of DFT.

Cell: 4.426 7.336 7.336 Å, 120.34 90.00 90.00°
Fractional coordinates of all 9 atoms:
1 Zn 0.000 0.996 0.996
2 Tm 0.000 0.579 0.001
3 Mg 0.500 0.241 0.000
4 Mg 0.500 0.000 0.241
5 Y 0.000 0.422 0.422
6 Mg 0.500 0.759 0.759
7 Al 0.500 0.669 0.333
8 Al 0.500 0.333 0.669
9 Tm 0.000 0.001 0.579

## Properties
Theoretical density: 5000 kg/m³
VASP energy: -3.512 eV per atom
SG: Amm2
Magnetic moment: 0.00 μB/cell


Record 2
Computed, not measured: an optimized crystal structure of MgUAl at the PBE level of DFT.

Cell: 4.915 4.915 4.915 Å, 60.00 60.00 60.00°
Fractional coordinates of all 3 atoms:
1 Mg 0.750 0.750 0.750
2 Al 0.250 0.250 0.250
3 U 0.000 0.000 0.000

## Properties
Theoretical density: 5723 kg/m³
VASP energy: -4.452 eV per atom
SG: F-43m
Magnetic moment: 3.04 μB/cell


Record 3
Computed, not measured: an optimized crystal structure of MgUAl at the PBE level of DFT.

Cell: 4.763 4.763 4.763 Å, 60.00 60.00 60.00°
Each line ends with the local moment (μB).
Fractional coordinates of all 3 atoms:
1 U 0.750 0.750 0.750  2.52
2 Al 0.000 0.000 0.000  -0.03
3 Mg 0.250 0.250 0.250  -0.01

## Properties
Theoretical density: 6286 kg/m³
VASP energy: -4.912 eV per atom
SG: F-43m
Magnetic moment: 2.87 μB/cell


Record 4
Computed, not measured: an optimized crystal structure of Y3Mg3AlZn2 at the PBE level of DFT.

Cell: 7.593 7.593 4.169 Å, 90.00 90.00 120.00°
Fractional coordinates of all 9 atoms:
1 Mg 0.750 0.000 0.500
2 Y 0.000 0.415 0.000
3 Y 0.415 0.000 0.000
4 Zn 0.333 0.667 0.500
5 Mg 0.000 0.750 0.500
6 Al 0.000 0.000 0.000
7 Y 0.585 0.585 0.000
8 Zn 0.667 0.333 0.500
9 Mg 0.250 0.250 0.500

## Properties
Theoretical density: 3968 kg/m³
VASP energy: -3.646 eV per atom
SG: P-62m
Magnetic moment: 0.01 μB/cell


Question: Look up the VASP energy of the first one.
Answer: -3.512 eV per atom


Question: Which of these has the highest theoretical density?
Answer: number 3